Record 1
The following is a PBE calculation of LaMo2W after structural relaxation, from the Alexandria database.

Output
The calculation puts the excess energy over the best structure of this formula in the dataset at 260 meV/atom. The value obtained for the uncorrected energy is -36.9 eV/f.u.

abc: 5.610 5.610 5.610
angles: 146.60 128.53 62.76
Fractional positions:
Mo  0.748  0.248  0.500
Mo  0.990  0.990  0.000
W  0.513  0.513  0.000
La  0.249  0.749  0.500



Record 2
The following is a PBE calculation of LaMo2W after structural relaxation, from the Alexandria database.

Output
The calculation puts the excess energy over the best structure of this formula in the dataset at 126 meV/atom. The value obtained for the uncorrected energy is -37.4 eV/f.u.

abc: 4.713 4.713 4.713
angles: 60.00 60.00 60.00
Fractional positions:
Mo  0.750  0.750  0.750
Mo  0.250  0.250  0.250
La  0.000  0.000  0.000
W  0.500  0.500  0.500



Record 3
The following is a PBE calculation of LaMo2W after structural relaxation, from the Alexandria database.

Output
The calculation puts the excess energy over the best structure of this formula in the dataset at 259 meV/atom. The value obtained for the uncorrected energy is -36.9 eV/f.u.

abc: 3.251 4.776 4.776
angles: 90.00 90.00 90.00
Fractional positions:
W  0.500  0.500  0.000
Mo  0.000  0.000  0.000
Mo  0.000  0.500  0.500
La  0.500  0.000  0.500



Record order is preserved below.
DFT formation energy: 254.9 203.1 254.2 kJ/mol of formula units